The following is a PBE calculation of a geometry-optimized SrAc2Sb structure, from Alexandria via LeMat-Bulk.

Geometry as POSCAR:
```
SrAc2Sb
1.0
4.370 0.000 0.000
2.185 3.784 0.000
2.185 1.261 12.197
Sb Ac Sr
1 2 1
direct
0.500 0.500 0.500 Sb
0.110 0.110 0.669 Ac
0.890 0.890 0.331 Ac
0.000 0.000 0.000 Sr
```

## Properties
V, Å³ per cell: 201.69
Raw total energy, eV per atom: -3.796
Offset from the most stable computed form, meV per atom: 84
Formation energy without anion corrections, eV/atom: -0.291
Space-group type: No. 166
Size of the total moment, Bohr magnetons per cell: 0.4